Compound: AlHg3Ir
Source: the Alexandria database
Functional: PBE-GGA
Structure: optimized geometry

POSCAR file:
```
AlHg3Ir
1.0
5.042 0.000 0.000
0.000 5.042 0.000
0.000 0.000 5.042
Al Hg Ir
1 3 1
Cartesian
0.000 0.000 0.000 Al
0.000 0.000 2.521 Hg
0.000 2.521 0.000 Hg
2.521 0.000 0.000 Hg
2.521 2.521 2.521 Ir
```

Calculated values
formation energy	1134	meV/atom
M_tot	0.3458	μB per atom
symmetry	Pm-3m, No. 221
offset from the most stable computed form	598	meV per atom
final energy	-1.57	eV per atom